--- 1 ---
CuB3Rh: optimized geometry, GGA-PBE.

## Properties
Symmetry ... Pm-3m, No. 221

Cell lengths 3.7695, 3.7695, 3.7695 Å; angles 90.00, 90.00, 90.00 degrees
Last column: nearest neighbours and their distance in Å.
Element x y z (fractional)
B 0.0000 0.0000 0.5000  2 Cu 1.88
B 0.5000 0.0000 0.0000  2 Cu 1.88
B 0.0000 0.5000 0.0000  2 Cu 1.88
Rh 0.5000 0.5000 0.5000  12 B 2.67
Cu 0.0000 0.0000 0.0000  6 B 1.88


--- 2 ---
CuB3Rh: optimized geometry, GGA-PBE.

## Properties
Symmetry ... Pm-3m, No. 221

Cell lengths 4.0369, 4.0369, 4.0369 Å; angles 90.00, 90.00, 90.00 degrees
Last column: nearest neighbours and their distance in Å.
Element x y z (fractional)
B 0.0000 0.5000 0.0000  2 Rh 2.02
B 0.5000 0.0000 0.0000  2 Rh 2.02
B 0.0000 0.0000 0.5000  2 Rh 2.02
Cu 0.5000 0.5000 0.5000  12 B 2.85
Rh 0.0000 0.0000 0.0000  6 B 2.02


Which of them is most stable? Easy: 2.


--- 1 ---
Cu2BRuRh: optimized geometry, GGA-PBE.

## Properties
Symmetry ... P4/mmm, No. 123

Cell lengths 4.6339, 4.5562, 4.6339 Å; angles 90.00, 90.00, 90.00 degrees
Last column: nearest neighbours and their distance in Å.
Element x y z (fractional)
Ru 0.0000 0.5000 0.0000  2 Rh 2.28
Cu 0.0000 0.0000 0.5000  2 Rh 2.32
Cu 0.5000 0.0000 0.0000  2 Rh 2.32
B 0.5000 0.5000 0.5000  8 Cu 3.25, 4 Ru 3.28
Rh 0.0000 0.0000 0.0000  2 Ru 2.28, 4 Cu 2.32


--- 2 ---
Cu2BRuRh: optimized geometry, GGA-PBE.

## Properties
Symmetry ... P4/mmm, No. 123

Cell lengths 3.9863, 4.0065, 3.9863 Å; angles 90.00, 90.00, 90.00 degrees
Last column: nearest neighbours and their distance in Å.
Element x y z (fractional)
B 0.0000 0.0000 0.0000  4 Cu 1.99, 2 Rh 2.00
Ru 0.5000 0.5000 0.5000  4 Rh 2.82, 8 Cu 2.83
Cu 0.5000 0.0000 0.0000  2 B 1.99
Cu 0.0000 0.0000 0.5000  2 B 1.99
Rh 0.0000 0.5000 0.0000  2 B 2.00


Which of them is most stable? Easy: 2.